A relaxed structure of Ba2HfPd, computed with PBE-GGA.

```
Ba2HfPd
1.0
0.000 3.846 3.846
3.846 0.000 3.846
3.846 3.846 0.000
Ba Hf Pd
2 1 1
direct
0.250 0.250 0.250
0.000 0.000 0.000
0.500 0.500 0.500
0.750 0.750 0.750
```

Values from the calculation:
- space-group type = F-43m
- VASP energy (eV per atom) = -4.230

***

A relaxed structure of Cs2NaNiI6, computed with PBE-GGA.

```
Cs2NaNiI6
1.0
-2.932 -6.584 -4.026
-4.572 -5.588 4.003
-8.081 -0.614 -1.574
I Cs Ni Na
6 2 1 1
direct
0.269 0.731 0.731
0.269 0.269 0.731
0.731 0.269 0.269
0.269 0.731 0.269
0.731 0.731 0.269
0.731 0.269 0.731
0.750 0.750 0.750
0.250 0.250 0.250
0.500 0.500 0.500
0.000 0.000 0.000
```

Values from the calculation:
- space-group type = Fm-3m
- VASP energy (eV per atom) = -2.629

***

A relaxed structure of AcBAu, computed with PBE-GGA.

```
AcBAu
1.0
0.047 2.796 3.658
-3.202 3.280 0.431
-3.262 -0.377 3.228
Au Ac B
1 1 1
direct
0.750 0.750 0.750
0.250 0.250 0.250
0.000 0.000 0.000
```

Values from the calculation:
- space-group type = F-43m
- polymorph energy (0 for the lowest one) (eV per atom) = 0.000

***

A relaxed structure of Pr3Bi4Au3, computed with PBE-GGA.

```
Pr3Bi4Au3
1.0
-5.164 5.164 5.164
5.164 -5.164 5.164
5.164 5.164 -5.164
Bi Au Pr
8 6 6
direct
0.000 0.820 0.500
0.500 0.000 0.820
0.180 0.180 0.180
0.000 0.320 0.500
0.680 0.680 0.680
0.820 0.500 0.000
0.500 0.000 0.320
0.320 0.500 0.000
0.375 0.625 0.750
0.625 0.750 0.375
0.250 0.125 0.875
0.750 0.375 0.625
0.875 0.250 0.125
0.125 0.875 0.250
0.250 0.625 0.375
0.750 0.875 0.125
0.875 0.125 0.750
0.125 0.750 0.875
0.375 0.250 0.625
0.625 0.375 0.250
```

Values from the calculation:
- space-group type = I-43d
- VASP energy (eV per atom) = -4.785

***

A relaxed structure of SrCdSeO, computed with PBE-GGA.

```
SrCdSeO
1.0
6.369 0.000 0.000
0.000 9.686 0.000
0.000 0.000 6.201
Cd Se O Sr
4 4 4 4
direct
0.408 0.081 0.985
0.908 0.919 0.985
0.592 0.919 0.485
0.092 0.081 0.485
0.491 0.655 0.573
0.509 0.345 0.073
0.991 0.345 0.573
0.009 0.655 0.073
0.417 0.089 0.622
0.083 0.089 0.122
0.583 0.911 0.122
0.917 0.911 0.622
0.499 0.328 0.570
0.501 0.672 0.070
0.999 0.672 0.570
0.001 0.328 0.070
```

Values from the calculation:
- space-group type = Pca2_1
- VASP energy (eV per atom) = -4.340

***

A relaxed structure of PrBr, computed with PBE-GGA.

```
PrBr
1.0
0.000 3.386 3.386
3.386 0.000 3.386
3.386 3.386 0.000
Pr Br
1 1
direct
0.250 0.250 0.250
0.000 0.000 0.000
```

Values from the calculation:
- space-group type = F-43m
- VASP energy (eV per atom) = -3.889